1.
Material: LaMn2Cl
Method: DFT, SCAN
State: single point on PBEsol structure

Structure (POSCAR):
```
LaMn2Cl
1.0
3.270 0.000 0.000
0.000 4.611 -0.091
-1.635 -1.987 5.175
Cl Mn La
1 2 1
direct
0.000 0.000 0.000 Cl
0.780 0.650 0.560 Mn
0.220 0.350 0.440 Mn
0.500 0.500 0.000 La
```

Results
As for the volume: 77.4 Å³/cell. The energy relative to the elements, uncorrected comes out at 63 meV/atom. The calculation puts the energy relative to the lowest polymorph listed for this composition at 577.0 meV per atom. The crystal system is monoclinic.

=====

2.
Material: LaMnCl2
Method: DFT, SCAN
State: single point on PBEsol structure

Structure (POSCAR):
```
LaMnCl2
1.0
3.588 0.000 0.000
0.000 3.588 0.000
0.000 0.000 6.870
Cl Mn La
2 1 1
direct
0.000 0.000 0.926 Cl
0.500 0.500 0.261 Cl
0.500 0.500 0.810 Mn
0.000 0.000 0.502 La
```

Results
As for the volume: 88.4 Å³/cell. The energy relative to the elements, uncorrected comes out at -1354 meV/atom. The calculation puts the energy relative to the lowest polymorph listed for this composition at 0.0 meV per atom. The crystal system is tetragonal.